The following is a DFT calculation (GGA+U) of NdNpNiO6 after structural relaxation.

a b c (Å): 5.3380 5.3380 10.3813
angles (deg): 90.00 90.00 120.00
Each line ends with the local moment (μB).
Positions (direct):
Nd 0.0000 0.0000 0.0000  0.01
Nd 0.0000 0.0000 0.5000  0.01
O 0.3611 0.0092 0.1409  0.03
O 0.6481 0.6389 0.1409  0.03
O 0.6481 0.0092 0.3591  0.03
O 0.6389 0.9908 0.8591  0.03
O 0.3519 0.9908 0.6409  0.03
O 0.0092 0.3611 0.6409  0.03
O 0.9908 0.3519 0.1409  0.03
O 0.6389 0.6481 0.6409  0.03
O 0.9908 0.6389 0.3591  0.03
O 0.3611 0.3519 0.3591  0.03
O 0.0092 0.6481 0.8591  0.03
O 0.3519 0.3611 0.8591  0.03
Ni 0.6667 0.3333 0.7500  1.74
Ni 0.3333 0.6667 0.2500  1.74
Np 0.6667 0.3333 0.2500  0.03
Np 0.3333 0.6667 0.7500  0.03

Values from the calculation:
- mass density (g cm⁻³) = 6.9
- uncorrected energy (Ry per atom) = -0.591